[1]
Computed, not measured: a geometry-optimized TcSnIr2 structure at the PBE level of DFT.

It has space group F-43m (No. 216), with a = 6.3547 Å, b = 6.3547 Å, c = 6.3547 Å, α = 90.00°, β = 90.00° and γ = 90.00°. The inequivalent atoms are Tc at (0.0000, 0.0000, 0.0000), Sn at (0.2500, 0.2500, 0.7500), Ir at (0.0000, 0.0000, 0.5000) and Ir at (0.2500, 0.2500, 0.2500).

The calculation puts the calculated volume at 16.0 Å³/atom. For the calculated total energy, the calculation gives -7.78 eV per atom.


[2]
Computed, not measured: a geometry-optimized Tc2SnIr structure at the PBE level of DFT.

It has space group F-43m (No. 216), with a = 6.3682 Å, b = 6.3682 Å, c = 6.3682 Å, α = 90.00°, β = 90.00° and γ = 90.00°. The inequivalent atoms are Tc at (0.0000, 0.0000, 0.0000), Tc at (0.2500, 0.2500, 0.2500), Sn at (0.0000, 0.0000, 0.5000) and Ir at (0.2500, 0.2500, 0.7500).

The calculation puts the calculated volume at 16.1 Å³/atom. For the calculated total energy, the calculation gives -8.15 eV per atom.


[3]
Computed, not measured: a geometry-optimized SnTe6Ir2 structure at the PBE level of DFT.

It has space group C2/m (No. 12), with a = 21.3179 Å, b = 4.1243 Å, c = 5.7847 Å, α = 90.00°, β = 92.52° and γ = 90.00°. The inequivalent atoms are Sn at (0.0000, 0.0000, 0.0000), Te at (0.0555, 0.5000, 0.6624), Te at (0.1333, 0.0000, 0.1865), Te at (0.2168, 0.0000, 0.7064) and Ir at (0.1665, 0.5000, 0.4614).

The calculation puts the calculated volume at 28.2 Å³/atom. For the calculated total energy, the calculation gives -4.69 eV per atom.


[4]
Computed, not measured: a geometry-optimized Sn3Te3Ir2 structure at the PBE level of DFT.

It has space group R-3 (No. 148, hexagonal axes), with a = 13.3729 Å, b = 13.3729 Å, c = 16.4100 Å, α = 90.00°, β = 90.00° and γ = 120.00°. The inequivalent atoms are Sn at (0.0019, 0.1650, 0.3381), Sn at (0.0561, 0.7851, 0.9448), Te at (0.0154, 0.1797, 0.8341), Te at (0.0534, 0.6022, 0.1017), Ir at (0.0000, 0.0000, 0.2486) and Ir at (0.9997, 0.5004, 0.2480).

The calculation puts the calculated volume at 26.5 Å³/atom. For the calculated total energy, the calculation gives -5.30 eV per atom.


[5]
Computed, not measured: a geometry-optimized TlSn2Ir structure at the PBE level of DFT.

It has space group F-43m (No. 216), with a = 7.0792 Å, b = 7.0792 Å, c = 7.0792 Å, α = 90.00°, β = 90.00° and γ = 90.00°. The inequivalent atoms are Tl at (0.0000, 0.0000, 0.0000), Sn at (0.0000, 0.0000, 0.5000), Sn at (0.2500, 0.2500, 0.7500) and Ir at (0.2500, 0.2500, 0.2500).

The calculation puts the calculated volume at 22.2 Å³/atom. For the calculated total energy, the calculation gives -4.39 eV per atom.


[6]
Computed, not measured: a geometry-optimized Tl2SnIr structure at the PBE level of DFT.

It has space group F-43m (No. 216), with a = 7.1412 Å, b = 7.1412 Å, c = 7.1412 Å, α = 90.00°, β = 90.00° and γ = 90.00°. The inequivalent atoms are Tl at (0.0000, 0.0000, 0.0000), Tl at (0.2500, 0.2500, 0.2500), Sn at (0.0000, 0.0000, 0.5000) and Ir at (0.2500, 0.2500, 0.7500).

The calculation puts the calculated volume at 22.8 Å³/atom. For the calculated total energy, the calculation gives -3.94 eV per atom.


[7]
Computed, not measured: a geometry-optimized TmZn2SnIr4 structure at the PBE level of DFT.

It has space group P4/mmm (No. 123), with a = 4.4646 Å, b = 4.4646 Å, c = 6.4576 Å, α = 90.00°, β = 90.00° and γ = 90.00°. The inequivalent atoms are Tm at (0.0000, 0.0000, 0.0000), Zn at (0.0000, 0.0000, 0.5000), Zn at (0.5000, 0.5000, 0.0000), Sn at (0.5000, 0.5000, 0.5000) and Ir at (0.0000, 0.5000, 0.2631).

The calculation puts the calculated volume at 16.1 Å³/atom. For the calculated total energy, the calculation gives -6.18 eV per atom.


[8]
Computed, not measured: a geometry-optimized USnIr structure at the PBE level of DFT.

It has space group P-62m (No. 189), with a = 7.3599 Å, b = 7.3599 Å, c = 4.0781 Å, α = 90.00°, β = 90.00° and γ = 120.00°. The inequivalent atoms are U at (0.0000, 0.5834, 0.0000), Sn at (0.0000, 0.2530, 0.5000), Ir at (0.0000, 0.0000, 0.0000) and Ir at (0.3333, 0.6667, 0.5000).

The calculation puts the calculated volume at 21.3 Å³/atom. For the calculated total energy, the calculation gives -8.51 eV per atom.


[9]
Computed, not measured: a geometry-optimized USnIr structure at the PBE level of DFT.

It has space group P-62m (No. 189), with a = 8.4669 Å, b = 8.4669 Å, c = 2.9995 Å, α = 90.00°, β = 90.00° and γ = 120.00°. The inequivalent atoms are U at (0.0000, 0.3100, 0.0000), Sn at (0.0000, 0.0000, 0.5000), Sn at (0.3333, 0.6667, 0.0000) and Ir at (0.0000, 0.6451, 0.5000).

The calculation puts the calculated volume at 20.7 Å³/atom. For the calculated total energy, the calculation gives -7.93 eV per atom.


[10]
Computed, not measured: a geometry-optimized USnIr structure at the PBE level of DFT.

It has space group P-62m (No. 189), with a = 6.8557 Å, b = 6.8557 Å, c = 4.6970 Å, α = 90.00°, β = 90.00° and γ = 120.00°. The inequivalent atoms are U at (0.0000, 0.5131, 0.0000), Sn at (0.0000, 0.0000, 0.0000), Sn at (0.3333, 0.6667, 0.5000) and Ir at (0.0000, 0.2338, 0.5000).

The calculation puts the calculated volume at 21.2 Å³/atom. For the calculated total energy, the calculation gives -8.26 eV per atom.


[11]
Computed, not measured: a geometry-optimized Y2Sn2Ir structure at the PBE level of DFT.

It has space group I4/mmm (No. 139), with a = 4.2788 Å, b = 4.2788 Å, c = 13.9580 Å, α = 90.00°, β = 90.00° and γ = 90.00°. The inequivalent atoms are Y at (0.0000, 0.5000, 0.2500), Sn at (0.0000, 0.0000, 0.0922) and Ir at (0.0000, 0.0000, 0.5000).

The calculation puts the calculated volume at 25.6 Å³/atom. For the calculated total energy, the calculation gives -5.42 eV per atom.


[12]
Computed, not measured: a geometry-optimized YSnIr structure at the PBE level of DFT.

It has space group Pnma (No. 62), with a = 6.9836 Å, b = 4.5863 Å, c = 8.0449 Å, α = 90.00°, β = 90.00° and γ = 90.00°. The inequivalent atoms are Y at (0.0200, 0.2500, 0.1898), Sn at (0.1674, 0.2500, 0.5740) and Ir at (0.2315, 0.7500, 0.3980).

The calculation puts the calculated volume at 21.5 Å³/atom. For the calculated total energy, the calculation gives -7.27 eV per atom.


What is the calculated volume in the twelfth record?
21.5 Å³/atom


calculated total energy of number 3 (SnTe6Ir2)?
-4.69 eV per atom


Which of these has the highest calculated volume?
SnTe6Ir2


What is the calculated total energy in the twelfth record?
-7.27 eV per atom